# Ru2NF PBE-GGA relaxed
# offset from the most stable computed form	734.6	meV/atom
# crystal system	cubic
# VASP energy	-102.16	eV per cell
# formation energy from raw total energies	0.802	eV/atom
data_Ru2NF
_chemical_formula_sum 'Ru8 N4 F4'
_cell_length_a 5.557
_cell_length_b 5.557
_cell_length_c 5.557
_cell_angle_alpha 90.00
_cell_angle_beta 90.00
_cell_angle_gamma 90.00
_symmetry_space_group_name_H-M 'F m -3 m'
_symmetry_Int_Tables_number 225
_symmetry_space_group_name_Hall '-F 4 2 3'
loop_
_atom_site_label
_atom_site_type_symbol
_atom_site_fract_x
_atom_site_fract_y
_atom_site_fract_z
Ru1 Ru 0.250 0.250 0.250
N1 N 0.000 0.000 0.000
F1 F 0.000 0.000 0.500

***

# Pu3Al7Au2 PBE-GGA relaxed
# crystal system	trigonal
# VASP energy	-241.97	eV per cell
# formation energy	-0.409	eV per atom
data_Pu3Al7Au2
_chemical_formula_sum 'Pu9 Al21 Au6'
_cell_length_a 5.5570
_cell_length_b 5.5570
_cell_length_c 26.3071
_cell_angle_alpha 90.00
_cell_angle_beta 90.00
_cell_angle_gamma 120.00
_symmetry_space_group_name_H-M 'R -3 m'
_symmetry_Int_Tables_number 166
_symmetry_space_group_name_Hall '-R 3 2"'
loop_
_atom_site_label
_atom_site_type_symbol
_atom_site_fract_x
_atom_site_fract_y
_atom_site_fract_z
Pu1 Pu 0.0000 0.0000 0.0000
Pu2 Pu 0.0000 0.0000 0.1446
Al1 Al 0.0000 0.0000 0.5000
Al2 Al 0.0082 0.5041 0.9171
Au1 Au 0.0000 0.0000 0.3362

***

# ScFeMo PBE-GGA relaxed
# offset from the most stable computed form	97.3	meV/atom
# crystal system	orthorhombic
# VASP energy	-205.02	eV per cell
# formation energy	-0.001	eV per atom
data_ScFeMo
_chemical_formula_sum 'Sc8 Fe8 Mo8'
_cell_length_a 5.227
_cell_length_b 8.243
_cell_length_c 8.729
_cell_angle_alpha 90.00
_cell_angle_beta 90.00
_cell_angle_gamma 90.00
_symmetry_space_group_name_H-M 'F m m m'
_symmetry_Int_Tables_number 69
_symmetry_space_group_name_Hall '-F 2 2'
loop_
_atom_site_label
_atom_site_type_symbol
_atom_site_fract_x
_atom_site_fract_y
_atom_site_fract_z
Sc1 Sc 0.000 0.172 0.000
Fe1 Fe 0.250 0.250 0.250
Mo1 Mo 0.000 0.000 0.340

***

# KPa2AgSe5 PBE-GGA relaxed
# crystal system	tetragonal
# VASP energy	-203.42	eV per cell
# formation energy from raw total energies	-1.166	eV/atom
data_KPa2AgSe5
_chemical_formula_sum 'K4 Pa8 Ag4 Se20'
_cell_length_a 7.940
_cell_length_b 7.940
_cell_length_c 15.543
_cell_angle_alpha 90.00
_cell_angle_beta 90.00
_cell_angle_gamma 90.00
_symmetry_space_group_name_H-M 'I 4/m c m'
_symmetry_Int_Tables_number 140
_symmetry_space_group_name_Hall '-I 4 2c'
loop_
_atom_site_label
_atom_site_type_symbol
_atom_site_fract_x
_atom_site_fract_y
_atom_site_fract_z
K1 K 0.000 0.000 0.250
Pa1 Pa 0.157 0.343 0.000
Ag1 Ag 0.000 0.500 0.250
Se1 Se 0.000 0.000 0.000
Se2 Se 0.148 0.352 0.383

***

# CrTc2I4 PBE-GGA relaxed
# crystal system	tetragonal
# VASP energy	-64.72	eV per cell
# formation energy from raw total energies	0.600	eV/atom
data_CrTc2I4
_chemical_formula_sum 'Cr2 Tc4 I8'
_cell_length_a 5.871
_cell_length_b 5.871
_cell_length_c 13.256
_cell_angle_alpha 90.00
_cell_angle_beta 90.00
_cell_angle_gamma 90.00
_symmetry_space_group_name_H-M 'I 4/m m m'
_symmetry_Int_Tables_number 139
_symmetry_space_group_name_Hall '-I 4 2'
loop_
_atom_site_label
_atom_site_type_symbol
_atom_site_fract_x
_atom_site_fract_y
_atom_site_fract_z
Cr1 Cr 0.000 0.000 0.000
Tc1 Tc 0.000 0.000 0.422
I1 I 0.000 0.000 0.210
I2 I 0.000 0.500 0.000

***

# Cs2YGe2O6 PBE-GGA relaxed
# crystal system	trigonal
# VASP energy	-207.60	eV per cell
# formation energy from raw total energies	-2.004	eV/atom
data_Cs2YGe2O6
_chemical_formula_sum 'Cs6 Y3 Ge6 O18'
_cell_length_a 6.2039
_cell_length_b 6.2039
_cell_length_c 18.4431
_cell_angle_alpha 90.00
_cell_angle_beta 90.00
_cell_angle_gamma 120.00
_symmetry_space_group_name_H-M 'R -3 m'
_symmetry_Int_Tables_number 166
_symmetry_space_group_name_Hall '-R 3 2"'
loop_
_atom_site_label
_atom_site_type_symbol
_atom_site_fract_x
_atom_site_fract_y
_atom_site_fract_z
Cs1 Cs 0.0000 0.0000 0.2204
Y1 Y 0.0000 0.0000 0.0000
Ge1 Ge 0.0000 0.0000 0.4254
O1 O 0.0148 0.5074 0.2618

***

# PrEuRh PBE-GGA relaxed
# offset from the most stable computed form	0.0	meV/atom
# crystal system	cubic
# VASP energy	-94.36	eV per cell
# formation energy	-0.395	eV per atom
data_PrEuRh
_chemical_formula_sum 'Pr4 Eu4 Rh4'
_cell_length_a 7.041
_cell_length_b 7.041
_cell_length_c 7.041
_cell_angle_alpha 90.00
_cell_angle_beta 90.00
_cell_angle_gamma 90.00
_symmetry_space_group_name_H-M 'F -4 3 m'
_symmetry_Int_Tables_number 216
_symmetry_space_group_name_Hall 'F -4 2 3'
loop_
_atom_site_label
_atom_site_type_symbol
_atom_site_fract_x
_atom_site_fract_y
_atom_site_fract_z
Pr1 Pr 0.000 0.000 0.000
Eu1 Eu 0.000 0.000 0.500
Rh1 Rh 0.250 0.250 0.250

***

# Ba2AcHg2 PBE-GGA relaxed
# crystal system	orthorhombic
# VASP energy	-21.07	eV per cell
# formation energy	-0.396	eV per atom
data_Ba2AcHg2
_chemical_formula_sum 'Ba4 Ac2 Hg4'
_cell_length_a 4.151
_cell_length_b 24.202
_cell_length_c 4.102
_cell_angle_alpha 90.00
_cell_angle_beta 90.00
_cell_angle_gamma 90.00
_symmetry_space_group_name_H-M 'C m m m'
_symmetry_Int_Tables_number 65
_symmetry_space_group_name_Hall '-C 2 2'
loop_
_atom_site_label
_atom_site_type_symbol
_atom_site_fract_x
_atom_site_fract_y
_atom_site_fract_z
Ba1 Ba 0.000 0.166 0.000
Ac1 Ac 0.000 0.000 0.000
Hg1 Hg 0.000 0.420 0.500

***

| no. | calculated volume (Å³/cell) | D(E_F) (states/eV per cell) |
| --- | --- | --- |
| 1 | 171.6 | 17.1 |
| 2 | 703.5 | 76.2 |
| 3 | 376.1 | 25.6 |
| 4 | 979.9 | 23.2 |
| 5 | 456.9 | 10.5 |
| 6 | 614.7 | 3.6 |
| 7 | 349.0 | 46.3 |
| 8 | 412.1 | 7.6 |